[1]
VASP calculation (PBE-GGA) on an optimized crystal structure of ZnBi6.

```
ZnBi6
1.0
-4.436 4.436 4.436
4.436 -4.436 4.436
4.436 4.436 -4.436
Zn Bi
1 6
direct
0.000 0.000 0.000
0.250 0.500 0.750
0.250 0.750 0.500
0.500 0.250 0.750
0.500 0.750 0.250
0.750 0.250 0.500
0.750 0.500 0.250
```

Properties
- Symmetry: Im-3m
- Formation energy: 0.355 eV per atom
- E_tot: -3.154 eV per atom
- DOS at the Fermi energy: 0.393 states/eV per atom


[2]
VASP calculation (PBE-GGA) on an optimized crystal structure of ZnBi.

```
ZnBi
1.0
4.088 0.000 0.000
-2.044 3.540 0.000
0.000 0.000 8.382
Zn Bi
2 2
direct
0.333 0.667 0.000
0.667 0.333 0.500
0.333 0.667 0.324
0.667 0.333 0.824
```

Properties
- Symmetry: P6_3mc
- Formation energy: 0.226 eV per atom
- E_tot: -2.352 eV per atom
- DOS at the Fermi energy: 0.424 states/eV per atom


[3]
VASP calculation (PBE-GGA) on an optimized crystal structure of ZnBi.

```
ZnBi
1.0
7.191 0.000 0.000
0.000 7.191 0.000
0.000 0.000 5.004
Zn Bi
4 4
direct
0.231 0.231 0.000
0.269 0.731 0.500
0.731 0.269 0.500
0.769 0.769 0.000
0.158 0.842 0.000
0.342 0.342 0.500
0.658 0.658 0.500
0.842 0.158 0.000
```

Properties
- Symmetry: P4_2/mnm
- Formation energy: 0.229 eV per atom
- E_tot: -2.349 eV per atom
- DOS at the Fermi energy: 0.248 states/eV per atom


[4]
VASP calculation (PBE-GGA) on an optimized crystal structure of Zn3Bi.

```
Zn3Bi
1.0
-2.231 2.231 4.135
2.231 -2.231 4.135
2.231 2.231 -4.135
Zn Bi
3 1
direct
0.000 0.000 0.000
0.250 0.750 0.500
0.750 0.250 0.500
0.500 0.500 0.000
```

Properties
- Symmetry: I4/mmm
- Formation energy: 0.204 eV per atom
- E_tot: -1.722 eV per atom
- DOS at the Fermi energy: 0.511 states/eV per atom


[5]
VASP calculation (PBE-GGA) on an optimized crystal structure of ZnBi.

```
ZnBi
1.0
13.631 0.000 0.000
0.000 4.778 0.000
0.000 0.000 5.300
Zn Bi
6 6
direct
0.000 0.132 0.000
0.211 0.606 0.258
0.289 0.394 0.758
0.500 0.868 0.500
0.711 0.394 0.758
0.789 0.606 0.258
0.000 0.625 0.267
0.173 0.886 0.756
0.327 0.114 0.256
0.500 0.375 0.767
0.673 0.114 0.256
0.827 0.886 0.756
```

Properties
- Symmetry: Pmn2_1
- Formation energy: 0.177 eV per atom
- E_tot: -2.401 eV per atom
- DOS at the Fermi energy: 0.399 states/eV per atom


[6]
VASP calculation (PBE-GGA) on an optimized crystal structure of ZnBi.

```
ZnBi
1.0
4.343 0.000 0.000
0.000 13.031 0.000
0.000 0.000 5.608
Zn Bi
6 6
direct
0.250 0.149 0.142
0.250 0.351 0.142
0.250 0.750 0.680
0.750 0.250 0.320
0.750 0.649 0.858
0.750 0.851 0.858
0.250 0.250 0.666
0.250 0.509 0.741
0.250 0.991 0.741
0.750 0.009 0.259
0.750 0.491 0.259
0.750 0.750 0.334
```

Properties
- Symmetry: Pmmn
- Formation energy: 0.138 eV per atom
- E_tot: -2.440 eV per atom
- DOS at the Fermi energy: 0.349 states/eV per atom


[7]
VASP calculation (PBE-GGA) on an optimized crystal structure of Zn3Bi.

```
Zn3Bi
1.0
3.279 0.000 0.000
0.000 4.169 0.000
0.000 0.000 6.113
Zn Bi
3 1
direct
0.000 0.000 0.000
0.000 0.500 0.273
0.500 0.000 0.357
0.500 0.500 0.732
```

Properties
- Symmetry: Pmm2
- Formation energy: 0.147 eV per atom
- E_tot: -1.778 eV per atom
- DOS at the Fermi energy: 0.414 states/eV per atom


[8]
VASP calculation (PBE-GGA) on an optimized crystal structure of Zn13Bi.

```
Zn13Bi
1.0
0.000 6.168 6.168
6.168 0.000 6.168
6.168 6.168 0.000
Zn Bi
26 2
direct
0.000 0.000 0.000
0.062 0.300 0.700
0.062 0.700 0.938
0.062 0.938 0.300
0.200 0.438 0.800
0.200 0.562 0.438
0.200 0.800 0.562
0.300 0.062 0.938
0.300 0.700 0.062
0.300 0.938 0.700
0.438 0.200 0.562
0.438 0.562 0.800
0.438 0.800 0.200
0.500 0.500 0.500
0.562 0.200 0.800
0.562 0.438 0.200
0.562 0.800 0.438
0.700 0.062 0.300
0.700 0.300 0.938
0.700 0.938 0.062
0.800 0.200 0.438
0.800 0.438 0.562
0.800 0.562 0.200
0.938 0.062 0.700
0.938 0.300 0.062
0.938 0.700 0.300
0.250 0.250 0.250
0.750 0.750 0.750
```

Properties
- Symmetry: Fm-3c
- Formation energy: 0.077 eV per atom
- E_tot: -1.384 eV per atom
- DOS at the Fermi energy: 0.786 states/eV per atom